[1]
VASP calculation (PBE+U) on a geometry-optimized RbPrMoO5 structure.

Cell: 8.062 10.645 8.485 Å, 90.00 114.86 90.00°
Space group C2/c (No. 15)
One atom of each set of equivalent atoms:
Rb1 0.000 0.177 0.250 [4 per cell]
Pr1 0.000 0.500 0.000 [4 per cell]
Mo1 0.000 0.184 0.750 [4 per cell]
O1 0.000 0.427 0.250 [4 per cell]
O2 0.086 0.282 0.628 [8 per cell]
O3 0.178 0.084 0.896 [8 per cell]

Properties
Raw total energy in eV per atom: -6.917
Mass density in g/cm³: 4.044

[2]
VASP calculation (PBE+U) on a geometry-optimized Rb2PrMoO6 structure.

Cell: 6.6217 6.6217 6.1378 Å, 90.00 90.00 120.00°
Space group P-3m1 (No. 164)
One atom of each set of equivalent atoms:
Rb1 0.3333 0.6667 0.4156 [2 per cell]
Pr1 0.0000 0.0000 0.0000 [1 per cell]
Mo1 0.0000 0.0000 0.5000 [1 per cell]
O1 0.1341 0.2681 0.6964 [6 per cell]

Properties
Raw total energy in eV per atom: -6.182
D(E_F) in states/eV per atom: 0.14
Mass density in g/cm³: 3.589

[3]
VASP calculation (PBE+U) on a geometry-optimized Rb4Pr3MoO8 structure.

Cell: 7.2287 7.2287 19.7298 Å, 90.00 90.00 120.00°
Space group R-3m (No. 166, hexagonal axes)
One atom of each set of equivalent atoms:
Rb1 0.0000 0.0000 0.0000 [3 per cell]
Rb2 0.0000 0.5000 0.0000 [9 per cell]
Pr1 0.0000 0.5000 0.5000 [9 per cell]
Mo1 0.0000 0.0000 0.5000 [3 per cell]
O1 0.0000 0.0000 0.2280 [6 per cell]
O2 0.0171 0.5086 0.2262 [18 per cell]

Properties
Raw total energy in eV per atom: -6.301
D(E_F) in states/eV per atom: 0.00
Mass density in g/cm³: 5.515

[4]
VASP calculation (PBE+U) on a geometry-optimized Rb3Pr3MoO8 structure.

Cell: 12.358 7.184 7.819 Å, 90.00 121.91 90.00°
Space group C2/m (No. 12)
One atom of each set of equivalent atoms:
Rb1 0.000 0.000 0.000 [2 per cell]
Rb2 0.250 0.250 0.000 [4 per cell]
Pr1 0.000 0.500 0.500 [2 per cell]
Pr2 0.250 0.250 0.500 [4 per cell]
Mo1 0.000 0.000 0.500 [2 per cell]
O1 0.019 0.225 0.334 [8 per cell]
O2 0.202 0.000 0.665 [4 per cell]
O3 0.228 0.500 0.681 [4 per cell]

Properties
Raw total energy in eV per atom: -6.634
D(E_F) in states/eV per atom: 0.00
Mass density in g/cm³: 5.090

[5]
VASP calculation (PBE+U) on a geometry-optimized PrMoSO2 structure.

Cell: 4.157 4.157 5.377 Å, 90.00 90.00 90.00°
Space group P4mm (No. 99)
One atom of each set of equivalent atoms:
Pr1 0.000 0.000 0.000 [1 per cell]
Mo1 0.500 0.500 0.322 [1 per cell]
S1 0.500 0.500 0.790 [1 per cell]
O1 0.000 0.500 0.242 [2 per cell]

Properties
Raw total energy in eV per atom: -7.197
Mass density in g/cm³: 5.379

[6]
VASP calculation (PBE+U) on a geometry-optimized PrSmMo2O8 structure.

Cell: 5.373 5.373 11.549 Å, 90.00 90.00 90.00°
Space group I-4 (No. 82)
One atom of each set of equivalent atoms:
Pr1 0.000 0.000 0.000 [2 per cell]
Sm1 0.000 0.500 0.750 [2 per cell]
Mo1 0.000 0.000 0.500 [2 per cell]
Mo2 0.000 0.500 0.250 [2 per cell]
O1 0.160 0.257 0.583 [8 per cell]
O2 0.167 0.755 0.170 [8 per cell]

Properties
Raw total energy in eV per atom: -7.729
Mass density in g/cm³: 6.087

[7]
VASP calculation (PBE+U) on a geometry-optimized Sr2PrMoO6 structure.

Cell: 5.899 6.067 10.289 Å, 90.00 124.27 90.00°
Space group P2_1/c (No. 14)
One atom of each set of equivalent atoms:
Sr1 0.241 0.047 0.249 [4 per cell]
Pr1 0.500 0.000 0.000 [2 per cell]
Mo1 0.000 0.000 0.500 [2 per cell]
O1 0.126 0.221 0.945 [4 per cell]
O2 0.227 0.678 0.956 [4 per cell]
O3 0.325 0.038 0.730 [4 per cell]

Properties
Raw total energy in eV per atom: -7.127
Mass density in g/cm³: 5.545

[8]
VASP calculation (PBE+U) on a geometry-optimized TbPrMo2O8 structure.

Cell: 5.339 5.339 11.353 Å, 90.00 90.00 90.00°
Space group I-4 (No. 82)
One atom of each set of equivalent atoms:
Tb1 0.000 0.000 0.000 [2 per cell]
Pr1 0.000 0.500 0.250 [2 per cell]
Mo1 0.000 0.000 0.500 [2 per cell]
Mo2 0.000 0.500 0.750 [2 per cell]
O1 0.166 0.733 0.837 [8 per cell]
O2 0.185 0.262 0.412 [8 per cell]

Properties
Raw total energy in eV per atom: -7.695
Mass density in g/cm³: 6.359

[9]
VASP calculation (PBE+U) on a geometry-optimized Pr2Te4MoO14 structure.

Cell: 7.079 10.304 10.306 Å, 90.31 107.32 93.42°
Space group P-1 (No. 2)
One atom of each set of equivalent atoms:
Pr1 0.146 0.305 0.083 [2 per cell]
Pr2 0.283 0.536 0.788 [2 per cell]
Te1 0.141 0.277 0.457 [2 per cell]
Te2 0.239 0.605 0.279 [2 per cell]
Te3 0.422 0.829 0.631 [2 per cell]
Te4 0.440 0.787 0.045 [2 per cell]
Mo1 0.026 0.032 0.765 [2 per cell]
O1 0.005 0.415 0.864 [2 per cell]
O2 0.086 0.398 0.310 [2 per cell]
O3 0.097 0.121 0.926 [2 per cell]
O4 0.106 0.870 0.368 [2 per cell]
O5 0.125 0.117 0.231 [2 per cell]
O6 0.198 0.395 0.603 [2 per cell]
O7 0.203 0.703 0.932 [2 per cell]
O8 0.209 0.701 0.599 [2 per cell]
O9 0.249 0.989 0.732 [2 per cell]
O10 0.365 0.762 0.211 [2 per cell]
O11 0.374 0.491 0.198 [2 per cell]
O12 0.401 0.355 0.951 [2 per cell]
O13 0.431 0.284 0.456 [2 per cell]
O14 0.479 0.230 0.188 [2 per cell]

Properties
Raw total energy in eV per atom: -6.480
D(E_F) in states/eV per atom: 0.00
Mass density in g/cm³: 5.157

[10]
VASP calculation (PBE+U) on a geometry-optimized Pr2TeMo6O46 structure.

Cell: 9.313 9.604 12.125 Å, 79.44 81.63 72.55°
Space group P-1 (No. 2)
One atom of each set of equivalent atoms:
Pr1 0.228 0.250 0.341 [2 per cell]
Te1 0.500 0.500 0.500 [1 per cell]
Mo1 0.205 0.718 0.625 [2 per cell]
Mo2 0.274 0.813 0.344 [2 per cell]
Mo3 0.386 0.405 0.786 [2 per cell]
O1 0.023 0.682 0.676 [2 per cell]
O2 0.090 0.350 0.063 [2 per cell]
O3 0.108 0.268 0.650 [2 per cell]
O4 0.147 0.748 0.467 [2 per cell]
O5 0.162 0.836 0.963 [2 per cell]
O6 0.169 0.387 0.118 [2 per cell]
O7 0.176 0.821 0.234 [2 per cell]
O8 0.182 0.899 0.638 [2 per cell]
O9 0.193 0.222 0.569 [2 per cell]
O10 0.201 0.708 0.010 [2 per cell]
O11 0.225 0.352 0.838 [2 per cell]
O12 0.248 0.002 0.362 [2 per cell]
O13 0.301 0.446 0.349 [2 per cell]
O14 0.313 0.624 0.752 [2 per cell]
O15 0.328 0.471 0.599 [2 per cell]
O16 0.358 0.965 0.887 [2 per cell]
O17 0.385 0.544 0.354 [2 per cell]
O18 0.415 0.708 0.513 [2 per cell]
O19 0.431 0.182 0.186 [2 per cell]
O20 0.439 0.928 0.798 [2 per cell]
O21 0.479 0.398 0.901 [2 per cell]
O22 0.479 0.768 0.277 [2 per cell]
O23 0.495 0.049 0.459 [2 per cell]

Properties
Raw total energy in eV per atom: -6.052
D(E_F) in states/eV per atom: 0.09
Mass density in g/cm³: 2.823

[11]
VASP calculation (PBE+U) on a geometry-optimized PrTi2MoO8 structure.

Cell: 7.542 6.378 6.901 Å, 90.00 98.64 90.00°
Space group C2/m (No. 12)
One atom of each set of equivalent atoms:
Pr1 0.000 0.000 0.000 [2 per cell]
Ti1 0.060 0.500 0.226 [4 per cell]
Mo1 0.000 0.000 0.500 [2 per cell]
O1 0.004 0.220 0.281 [8 per cell]
O2 0.172 0.500 0.009 [4 per cell]
O3 0.248 0.500 0.443 [4 per cell]

Properties
Raw total energy in eV per atom: -8.263
D(E_F) in states/eV per atom: 0.00
Mass density in g/cm³: 4.660

[12]
VASP calculation (PBE+U) on a geometry-optimized PrTl2MoO6 structure.

Cell: 6.4508 6.4508 6.1641 Å, 90.00 90.00 120.00°
Space group P-3m1 (No. 164)
One atom of each set of equivalent atoms:
Pr1 0.0000 0.0000 0.0000 [1 per cell]
Tl1 0.3333 0.6667 0.4769 [2 per cell]
Mo1 0.0000 0.0000 0.5000 [1 per cell]
O1 0.1378 0.2756 0.3030 [6 per cell]

Properties
Raw total energy in eV per atom: -6.155
D(E_F) in states/eV per atom: 0.47
Mass density in g/cm³: 5.544